A relaxed Dy2HoCo2B2P3 crystal. Source: OQMD, functional PBE-GGA.

Cell and atoms, written as CIF:
```
data_Dy2HoCo2B2P3
_chemical_formula_sum 'Dy4 Ho2 Co4 B4 P6'
_cell_length_a 3.855
_cell_length_b 3.855
_cell_length_c 21.800
_cell_angle_alpha 90.00
_cell_angle_beta 90.00
_cell_angle_gamma 90.00
_space_group_name_H-M_alt 'I 4/m m m'
_space_group_IT_number 139
_space_group_name_Hall '-I 4 2'
loop_
_atom_site_label
_atom_site_fract_x
_atom_site_fract_y
_atom_site_fract_z
_atom_site_occupancy
Dy1 0.000 0.000 0.138 1
Ho1 0.000 0.000 0.500 1
Co1 0.000 0.500 0.250 1
B1 0.000 0.000 0.285 1
P1 0.000 0.000 0.000 1
P2 0.000 0.000 0.376 1
```

Results
Total energy in eV/atom: -6.6503